No. 1
VASP calculation (PBE) on a geometry-optimized Sr2AgH6Ir structure.

Properties
Electronic total energy = -39.0 eV per formula unit
SG = R-3m, No. 166
Distance to the lowest polymorph of the same formula = 0.036 eV/atom
Total magnetization = 0.02 μB per cell

Cell lengths 10.3599, 10.3599, 10.3599 Å; angles 30.20, 30.20, 30.20 degrees
Fractional coordinates of all 20 atoms:
Sr (0.1239, 0.1239, 0.1239)
Sr (0.2958, 0.2958, 0.2958)
Sr (0.7042, 0.7042, 0.7042)
Sr (0.8761, 0.8761, 0.8761)
Ag (0.4061, 0.4061, 0.4061)
Ag (0.5939, 0.5939, 0.5939)
H (0.1530, 0.6261, 0.6261)
H (0.1858, 0.1858, 0.7355)
H (0.1858, 0.7355, 0.1858)
H (0.2645, 0.8142, 0.8142)
H (0.3739, 0.3739, 0.8470)
H (0.3739, 0.8470, 0.3739)
H (0.6261, 0.1530, 0.6261)
H (0.6261, 0.6261, 0.1530)
H (0.7355, 0.1858, 0.1858)
H (0.8142, 0.2645, 0.8142)
H (0.8142, 0.8142, 0.2645)
H (0.8470, 0.3739, 0.3739)
Ir (0.0000, 0.0000, 0.0000)
Ir (0.5000, 0.5000, 0.5000)

=====

No. 2
VASP calculation (PBE) on a geometry-optimized KBaTb structure.

Properties
Electronic total energy = -4.8 eV per formula unit
SG = F-43m, No. 216
Distance to the lowest polymorph of the same formula = 0.000 eV/atom
Total magnetization = 2.12 μB per cell

Cell lengths 6.2655, 6.2655, 6.2655 Å; angles 60.00, 60.00, 60.00 degrees
Fractional coordinates of all 3 atoms:
K (0.0000, 0.0000, 0.0000)
Ba (0.7500, 0.7500, 0.7500)
Tb (0.2500, 0.2500, 0.2500)

=====

No. 3
VASP calculation (PBE) on a geometry-optimized Tc2MoAs structure.

Properties
Electronic total energy = -35.4 eV per formula unit
SG = F-43m, No. 216
Total magnetization = 1.35 μB per cell

Cell lengths 4.3847, 4.3847, 4.3847 Å; angles 60.00, 60.00, 60.00 degrees
Fractional coordinates of all 4 atoms:
Tc (0.0000, 0.0000, 0.0000)
Tc (0.2500, 0.2500, 0.2500)
Mo (0.7500, 0.7500, 0.7500)
As (0.5000, 0.5000, 0.5000)

=====

No. 4
VASP calculation (PBE) on a geometry-optimized Nd4S3I4 structure.

Properties
Electronic total energy = -54.9 eV per formula unit
SG = Pmm2, No. 25
Total magnetization = 0.00 μB per cell

Cell lengths 4.3619, 8.8193, 9.3465 Å; angles 90.00, 90.00, 90.00 degrees
Fractional coordinates of all 11 atoms:
Nd (0.0000, 0.0000, 0.0000)
Nd (0.0000, 0.5000, 0.0486)
Nd (0.5000, 0.2636, 0.6701)
Nd (0.5000, 0.7364, 0.6701)
S (0.0000, 0.2821, 0.8484)
S (0.0000, 0.7179, 0.8484)
S (0.5000, 0.0000, 0.8282)
I (0.0000, 0.0000, 0.4997)
I (0.0000, 0.5000, 0.4970)
I (0.5000, 0.2462, 0.1881)
I (0.5000, 0.7538, 0.1881)

=====

No. 5
VASP calculation (PBE) on a geometry-optimized Sm2PaN3 structure.

Properties
Electronic total energy = -53.5 eV per formula unit
SG = C2/c, No. 15
Total magnetization = 0.01 μB per cell

Cell lengths 6.1260, 6.1260, 6.1228 Å; angles 99.58, 99.58, 119.93 degrees
Fractional coordinates of all 12 atoms:
Sm (0.0833, 0.9167, 0.7500)
Sm (0.2482, 0.7518, 0.2500)
Sm (0.7518, 0.2482, 0.7500)
Sm (0.9167, 0.0833, 0.2500)
Pa (0.4143, 0.5857, 0.7500)
Pa (0.5857, 0.4143, 0.2500)
N (0.0000, 0.5000, 0.5000)
N (0.2053, 0.3538, 0.9994)
N (0.3538, 0.2053, 0.4994)
N (0.5000, 0.0000, 0.0000)
N (0.6462, 0.7947, 0.5006)
N (0.7947, 0.6462, 0.0006)

=====

No. 6
VASP calculation (PBE) on a geometry-optimized Tm2ZnCoIr structure.

Properties
Electronic total energy = -29.2 eV per formula unit
SG = Imm2, No. 44
E_form = -58.08 kJ/mol of atoms
Total magnetization = 0.18 μB per cell

Cell lengths 5.3436, 5.3436, 5.3436 Å; angles 134.91, 80.90, 116.88 degrees
Fractional coordinates of all 5 atoms:
Tm (0.2071, 0.0000, 0.2071)
Tm (0.7929, 0.0000, 0.7929)
Zn (0.5132, 0.5132, 0.0000)
Co (0.7686, 0.2686, 0.5000)
Ir (0.2067, 0.7067, 0.5000)